i.
{"formula": "ZrAg3As", "functional": "GGA-PBEsol", "state": "relaxed", "dos_ef_per_ev_atom": 1.177, "cell": [[4.739, 0.000, 0.000], [0.000, 4.739, 0.000], [0.000, 0.000, 4.739]], "species": ["Zr", "Ag", "Ag", "Ag", "As"], "frac_coords": [[0.000, 0.000, 0.000], [0.000, 0.500, 0.500], [0.500, 0.000, 0.500], [0.500, 0.500, 0.000], [0.500, 0.500, 0.500]]}


ii.
{"formula": "ZrAg3As", "functional": "GGA-PBEsol", "state": "relaxed", "dos_ef_per_ev_atom": 1.159, "cell": [[5.072, 0.000, 0.000], [0.000, 5.072, 0.000], [0.000, 0.000, 5.072]], "species": ["Zr", "Ag", "Ag", "Ag", "As"], "frac_coords": [[0.000, 0.000, 0.000], [0.000, 0.000, 0.500], [0.000, 0.500, 0.000], [0.500, 0.000, 0.000], [0.500, 0.500, 0.500]]}


Which is more stable than every other structure shown? i is more stable than every other one.